[1]
Material: SrCaSb
Method: DFT, PBE
State: optimized geometry

The structure belongs to space group P3m1 (No. 156); the cell edges are 5.1966, 5.1966 and 4.7806 Å and the angles 90.00°, 90.00° and 120.00°. Symmetry generates all atoms from Sr at (0.0000, 0.0000, 0.0000), Ca at (0.6667, 0.3333, 0.4993) and Sb at (0.3333, 0.6667, 0.5030).

As for the formation energy (no corrections): -0.664 eV/atom. The magnetization comes out at 0.9 μB per cell.


[2]
Material: SrCa3Sb3
Method: DFT, PBE
State: optimized geometry

The structure belongs to space group P2_13 (No. 198); the cell edges are 9.645, 9.645 and 9.645 Å and the angles 90.00°, 90.00° and 90.00°. Symmetry generates all atoms from Sr at (0.071, 0.429, 0.571), Ca at (0.077, 0.577, 0.923), Ca at (0.177, 0.823, 0.323), Ca at (0.178, 0.178, 0.178) and Sb at (0.001, 0.257, 0.879).

As for the formation energy (no corrections): -0.985 eV/atom. The magnetization comes out at 0.0 μB per cell.


[3]
Material: Sr5CaSb4
Method: DFT, PBE
State: optimized geometry

The structure belongs to space group Immm (No. 71); the cell edges are 4.920, 11.083 and 13.667 Å and the angles 90.00°, 90.00° and 90.00°. Symmetry generates all atoms from Sr at (0.000, 0.000, 0.000), Sr at (0.000, 0.306, 0.159), Ca at (0.000, 0.000, 0.500), Sb at (0.000, 0.000, 0.264) and Sb at (0.000, 0.281, 0.500).

The energy relative to the lowest polymorph listed for this composition comes out at 62 meV per atom. As for the formation energy (no corrections): -0.894 eV/atom. The magnetization comes out at 0.1 μB per cell.


[4]
Material: SrCaSb
Method: DFT, PBE
State: optimized geometry

The structure belongs to space group F-43m (No. 216); the cell edges are 7.645, 7.645 and 7.645 Å and the angles 90.00°, 90.00° and 90.00°. Symmetry generates all atoms from Sr at (0.000, 0.000, 0.000), Ca at (0.000, 0.000, 0.500) and Sb at (0.250, 0.250, 0.250).

As for the formation energy (no corrections): -0.786 eV/atom. The magnetization comes out at 0.0 μB per cell.


[5]
Material: SrCa3Sb
Method: DFT, PBE
State: optimized geometry

The structure belongs to space group Pm-3m (No. 221); the cell edges are 6.087, 6.087 and 6.087 Å and the angles 90.00°, 90.00° and 90.00°. Symmetry generates all atoms from Sr at (0.000, 0.000, 0.000), Ca at (0.000, 0.500, 0.500) and Sb at (0.500, 0.500, 0.500).

The energy relative to the lowest polymorph listed for this composition comes out at 0 meV per atom. As for the formation energy (no corrections): -0.321 eV/atom. The magnetization comes out at 1.0 μB per cell.


[6]
Material: SrCa3Sb
Method: DFT, PBE
State: optimized geometry

The structure belongs to space group Pm-3m (No. 221); the cell edges are 6.096, 6.096 and 6.096 Å and the angles 90.00°, 90.00° and 90.00°. Symmetry generates all atoms from Sr at (0.000, 0.000, 0.000), Ca at (0.000, 0.000, 0.500) and Sb at (0.500, 0.500, 0.500).

The energy relative to the lowest polymorph listed for this composition comes out at 1210 meV per atom. As for the formation energy (no corrections): 0.889 eV/atom. The magnetization comes out at 3.0 μB per cell.


[7]
Material: Sr3CaSb
Method: DFT, PBE
State: optimized geometry

The structure belongs to space group Pm-3m (No. 221); the cell edges are 6.391, 6.391 and 6.391 Å and the angles 90.00°, 90.00° and 90.00°. Symmetry generates all atoms from Sr at (0.000, 0.000, 0.500), Ca at (0.500, 0.500, 0.500) and Sb at (0.000, 0.000, 0.000).

The energy relative to the lowest polymorph listed for this composition comes out at 0 meV per atom. As for the formation energy (no corrections): -0.325 eV/atom. The magnetization comes out at 1.2 μB per cell.


[8]
Material: SrCa2Sb2
Method: DFT, PBE
State: optimized geometry

The structure belongs to space group P-3m1 (No. 164); the cell edges are 5.1598, 5.1598 and 7.9780 Å and the angles 90.00°, 90.00° and 120.00°. Symmetry generates all atoms from Sr at (0.0000, 0.0000, 0.0000), Ca at (0.3333, 0.6667, 0.6467) and Sb at (0.3333, 0.6667, 0.2371).

The energy relative to the lowest polymorph listed for this composition comes out at 0 meV per atom. As for the formation energy (no corrections): -1.036 eV/atom. The magnetization comes out at 0.0 μB per cell.


Q: The highest magnetization belongs to which entry?
A: number 6


Q: What is the magnetization in the fourth record?
A: 0.0 μB per cell